# Na2Cr2O7

A relaxed Na2Cr2O7 crystal (GGA+U, Alexandria via LeMat-Bulk).

Unit cell a=7.1075 b=7.1475 c=7.5561 alpha=84.47 beta=63.89 gamma=81.96
Atoms (fractional coordinates):
Na 0.1095 0.1639 0.2653
Na 0.2812 0.3603 0.6540
Na 0.7188 0.6397 0.3460
Na 0.8905 0.8361 0.7347
Cr 0.2403 0.6584 0.2482
Cr 0.3666 0.8661 0.8113
Cr 0.6334 0.1339 0.1887
Cr 0.7597 0.3416 0.7518
O 0.0793 0.8368 0.3694
O 0.0981 0.5023 0.2357
O 0.2103 0.7566 0.7618
O 0.2633 0.0832 0.8758
O 0.3864 0.5664 0.3586
O 0.4005 0.1357 0.3760
O 0.4100 0.7419 0.0095
O 0.5900 0.2581 0.9905
O 0.5995 0.8643 0.6240
O 0.6136 0.4336 0.6414
O 0.7367 0.9168 0.1242
O 0.7897 0.2434 0.2382
O 0.9019 0.4977 0.7643
O 0.9207 0.1632 0.6306

## Properties
Calculated volume in Å³ per atom: 15.5
Raw total energy in eV per atom: -6.1983
M_tot in μB/atom: 0.000